# 1
A relaxed OsSCl2F crystal. Source: Alexandria via LeMat-Bulk, functional GGA-PBEsol.

Cell and atoms, written as POSCAR:
```
OsSCl2F
1.0
4.703 0.000 0.000
0.000 4.703 0.000
0.000 0.000 4.371
Os S Cl F
1 1 2 1
Direct
0.000 0.000 0.000 Os
0.000 0.000 0.500 S
0.000 0.500 0.000 Cl
0.500 0.000 0.000 Cl
0.500 0.500 0.500 F
```

Output
The size of the total moment is 0.000 μB/cell. Its space group is P4/mmm, No. 123. Its raw formation energy is 0.120 eV per atom. The density of states at the Fermi level is 0.965 states/eV per atom.

# 2
A relaxed PClF2 crystal. Source: Alexandria via LeMat-Bulk, functional GGA-PBEsol.

Cell and atoms, written as POSCAR:
```
PClF2
1.0
4.464 0.000 0.000
2.018 5.277 0.000
1.342 2.331 7.783
P Cl F
2 2 4
Direct
0.000 0.000 0.000 P
0.468 0.605 0.552 P
0.330 0.649 0.125 Cl
0.523 0.968 0.430 Cl
0.241 0.164 0.916 F
0.629 0.544 0.727 F
0.774 0.428 0.465 F
0.977 0.923 0.833 F
```

Output
The size of the total moment is 0.000 μB/cell. Its space group is P1, No. 1. Its raw formation energy is -1.766 eV per atom. The density of states at the Fermi level is 0.000 states/eV per atom.

# 3
A relaxed P2PbClF crystal. Source: Alexandria via LeMat-Bulk, functional GGA-PBEsol.

Cell and atoms, written as POSCAR:
```
P2PbClF
1.0
4.154 0.000 0.000
0.000 4.154 0.000
0.000 0.000 5.719
P Pb Cl F
2 1 1 1
Direct
0.000 0.500 0.000 P
0.500 0.000 0.000 P
0.000 0.000 0.500 Pb
0.500 0.500 0.500 Cl
0.500 0.500 0.000 F
```

Output
The size of the total moment is 0.001 μB/cell. Its space group is P4/mmm, No. 123. Its raw formation energy is 0.061 eV per atom. The density of states at the Fermi level is 0.643 states/eV per atom.

# 4
A relaxed ReP2ClF crystal. Source: Alexandria via LeMat-Bulk, functional GGA-PBEsol.

Cell and atoms, written as POSCAR:
```
ReP2ClF
1.0
3.962 0.000 0.000
0.000 3.962 0.000
0.000 0.000 4.662
Re P Cl F
1 2 1 1
Direct
0.000 0.000 0.000 Re
0.000 0.500 0.500 P
0.500 0.000 0.500 P
0.500 0.500 0.000 Cl
0.500 0.500 0.500 F
```

Output
The size of the total moment is 0.764 μB/cell. Its space group is P4/mmm, No. 123. Its raw formation energy is 1.062 eV per atom. The density of states at the Fermi level is 0.730 states/eV per atom.

# 5
A relaxed P2SClF crystal. Source: Alexandria via LeMat-Bulk, functional GGA-PBEsol.

Cell and atoms, written as POSCAR:
```
P2SClF
1.0
4.574 0.000 0.000
0.000 4.574 0.000
0.000 0.000 4.489
P S Cl F
2 1 1 1
Direct
0.000 0.500 0.000 P
0.500 0.000 0.000 P
0.000 0.000 0.500 S
0.000 0.000 0.000 Cl
0.500 0.500 0.500 F
```

Output
The size of the total moment is 0.002 μB/cell. Its space group is P4/mmm, No. 123. Its raw formation energy is 1.221 eV per atom. The density of states at the Fermi level is 0.717 states/eV per atom.

# 6
A relaxed TiP2ClF crystal. Source: Alexandria via LeMat-Bulk, functional GGA-PBEsol.

Cell and atoms, written as POSCAR:
```
TiP2ClF
1.0
3.996 0.000 0.000
0.000 3.996 0.000
0.000 0.000 4.952
Ti P Cl F
1 2 1 1
Direct
0.000 0.000 0.000 Ti
0.000 0.500 0.500 P
0.500 0.000 0.500 P
0.500 0.500 0.000 Cl
0.500 0.500 0.500 F
```

Output
The size of the total moment is 0.892 μB/cell. The offset from the most stable computed form is 230 meV/atom. Its space group is P4/mmm, No. 123. Its raw formation energy is 0.070 eV per atom. The density of states at the Fermi level is 0.851 states/eV per atom.

# 7
A relaxed TiP2ClF crystal. Source: Alexandria via LeMat-Bulk, functional GGA-PBEsol.

Cell and atoms, written as POSCAR:
```
TiP2ClF
1.0
4.650 0.000 0.000
0.000 4.650 0.000
0.000 0.000 4.574
Ti P Cl F
1 2 1 1
Direct
0.000 0.000 0.000 Ti
0.000 0.500 0.000 P
0.500 0.000 0.000 P
0.000 0.000 0.500 Cl
0.500 0.500 0.500 F
```

Output
The size of the total moment is 0.001 μB/cell. The offset from the most stable computed form is 0 meV/atom. Its space group is P4/mmm, No. 123. Its raw formation energy is -0.160 eV per atom. The density of states at the Fermi level is 0.748 states/eV per atom.

# 8
A relaxed TlP2ClF crystal. Source: Alexandria via LeMat-Bulk, functional GGA-PBEsol.

Cell and atoms, written as POSCAR:
```
TlP2ClF
1.0
5.175 0.000 0.000
0.000 5.175 0.000
0.000 0.000 5.156
Tl P Cl F
1 2 1 1
Direct
0.000 0.000 0.000 Tl
0.000 0.500 0.000 P
0.500 0.000 0.000 P
0.000 0.000 0.500 Cl
0.500 0.500 0.500 F
```

Output
The size of the total moment is 2.415 μB/cell. Its space group is P4/mmm, No. 123. Its raw formation energy is 0.928 eV per atom. The density of states at the Fermi level is 1.275 states/eV per atom.

# 9
A relaxed ZnPCl2F crystal. Source: Alexandria via LeMat-Bulk, functional GGA-PBEsol.

Cell and atoms, written as POSCAR:
```
ZnPCl2F
1.0
4.559 0.000 0.000
0.000 4.559 0.000
0.000 0.000 4.812
Zn P Cl F
1 1 2 1
Direct
0.000 0.000 0.000 Zn
0.000 0.000 0.500 P
0.000 0.500 0.000 Cl
0.500 0.000 0.000 Cl
0.500 0.500 0.500 F
```

Output
The size of the total moment is 0.380 μB/cell. Its space group is P4/mmm, No. 123. Its raw formation energy is 0.142 eV per atom. The density of states at the Fermi level is 0.509 states/eV per atom.

# 10
A relaxed Pb7Cl2F12 crystal. Source: Alexandria via LeMat-Bulk, functional GGA-PBEsol.

Cell and atoms, written as POSCAR:
```
Pb7Cl2F12
1.0
10.173 0.000 0.000
-5.087 8.810 0.000
0.000 0.000 3.929
Pb Cl F
7 2 12
Direct
0.000 0.000 0.000 Pb
0.115 0.713 0.500 Pb
0.287 0.402 0.500 Pb
0.415 0.111 0.000 Pb
0.598 0.885 0.500 Pb
0.696 0.585 0.000 Pb
0.889 0.304 0.000 Pb
0.333 0.667 0.000 Cl
0.667 0.333 0.500 Cl
0.038 0.427 0.500 F
0.114 0.278 0.000 F
0.164 0.886 0.000 F
0.210 0.130 0.500 F
0.389 0.962 0.500 F
0.431 0.381 0.000 F
0.573 0.611 0.500 F
0.619 0.050 0.000 F
0.722 0.836 0.000 F
0.870 0.080 0.500 F
0.920 0.790 0.500 F
0.950 0.569 0.000 F
```

Output
The size of the total moment is 0.000 μB/cell. Its space group is P-6, No. 174. Its raw formation energy is -2.196 eV per atom. The density of states at the Fermi level is 0.000 states/eV per atom.

# 11
A relaxed PbCl2F2 crystal. Source: Alexandria via LeMat-Bulk, functional GGA-PBEsol.

Cell and atoms, written as POSCAR:
```
PbCl2F2
1.0
6.431 0.000 0.000
0.000 6.431 0.000
0.000 0.000 5.542
Pb Cl F
2 4 4
Direct
0.000 0.000 0.000 Pb
0.500 0.500 0.000 Pb
0.109 0.391 0.500 Cl
0.391 0.891 0.500 Cl
0.609 0.109 0.500 Cl
0.891 0.609 0.500 Cl
0.193 0.693 0.000 F
0.307 0.193 0.000 F
0.693 0.807 0.000 F
0.807 0.307 0.000 F
```

Output
The size of the total moment is 0.000 μB/cell. Its space group is P4/mbm, No. 127. Its raw formation energy is -1.169 eV per atom.

# 12
A relaxed PdSCl2F crystal. Source: Alexandria via LeMat-Bulk, functional GGA-PBEsol.

Cell and atoms, written as POSCAR:
```
PdSCl2F
1.0
5.169 0.000 0.000
0.000 5.169 0.000
0.000 0.000 3.524
Pd S Cl F
1 1 2 1
Direct
0.000 0.000 0.000 Pd
0.500 0.500 0.000 S
0.000 0.500 0.500 Cl
0.500 0.000 0.500 Cl
0.500 0.500 0.500 F
```

Output
The size of the total moment is 2.389 μB/cell. Its space group is P4/mmm, No. 123. Its raw formation energy is 0.556 eV per atom. The density of states at the Fermi level is 1.187 states/eV per atom.

# 13
A relaxed Rb2ClF2 crystal. Source: Alexandria via LeMat-Bulk, functional GGA-PBEsol.

Cell and atoms, written as POSCAR:
```
Rb2ClF2
1.0
-2.083 2.083 7.452
2.083 -2.083 7.452
2.083 2.083 -7.452
Rb Cl F
2 1 2
Direct
0.137 0.137 0.000 Rb
0.863 0.863 0.000 Rb
0.500 0.500 0.000 Cl
0.250 0.750 0.500 F
0.750 0.250 0.500 F
```

Output
The size of the total moment is 1.046 μB/cell. Its space group is I4/mmm, No. 139. Its raw formation energy is -1.825 eV per atom. The density of states at the Fermi level is 1.650 states/eV per atom.

# 14
A relaxed Rb2ClF crystal. Source: Alexandria via LeMat-Bulk, functional GGA-PBEsol.

Cell and atoms, written as POSCAR:
```
Rb2ClF
1.0
-3.803 3.803 4.363
3.803 -3.803 4.363
3.803 3.803 -4.363
Rb Cl F
4 2 2
Direct
0.070 0.625 0.945 Rb
0.375 0.320 0.445 Rb
0.680 0.125 0.055 Rb
0.875 0.930 0.555 Rb
0.250 0.750 0.500 Cl
0.500 0.500 0.000 Cl
0.000 0.000 0.000 F
0.750 0.250 0.500 F
```

Output
The size of the total moment is 0.078 μB/cell. Its space group is I-42d, No. 122. Its raw formation energy is -2.224 eV per atom. The density of states at the Fermi level is 0.000 states/eV per atom.

# 15
A relaxed RbClF2 crystal. Source: Alexandria via LeMat-Bulk, functional GGA-PBEsol.

Cell and atoms, written as POSCAR:
```
RbClF2
1.0
2.275 1.313 5.697
-2.275 1.313 5.697
0.000 -2.627 5.697
Rb Cl F
1 1 2
Direct
0.000 0.000 0.000 Rb
0.500 0.500 0.500 Cl
0.391 0.391 0.391 F
0.609 0.609 0.609 F
```

Output
The size of the total moment is 0.004 μB/cell. Its space group is R-3m, No. 166. Its raw formation energy is -1.713 eV per atom. The density of states at the Fermi level is 0.000 states/eV per atom.

# 16
A relaxed ReS2ClF crystal. Source: Alexandria via LeMat-Bulk, functional GGA-PBEsol.

Cell and atoms, written as POSCAR:
```
ReS2ClF
1.0
4.065 0.000 0.000
0.000 4.065 0.000
0.000 0.000 5.254
Re S Cl F
1 2 1 1
Direct
0.000 0.000 0.000 Re
0.000 0.500 0.500 S
0.500 0.000 0.500 S
0.500 0.500 0.000 Cl
0.500 0.500 0.500 F
```

Output
The size of the total moment is 4.671 μB/cell. Its space group is P4/mmm, No. 123. Its raw formation energy is 1.281 eV per atom. The density of states at the Fermi level is 0.633 states/eV per atom.

# 17
A relaxed Rh3ClF crystal. Source: Alexandria via LeMat-Bulk, functional GGA-PBEsol.

Cell and atoms, written as POSCAR:
```
Rh3ClF
1.0
4.299 0.000 0.000
0.000 4.299 0.000
0.000 0.000 4.299
Rh Cl F
3 1 1
Direct
0.000 0.000 0.500 Rh
0.000 0.500 0.000 Rh
0.500 0.000 0.000 Rh
0.500 0.500 0.500 Cl
0.000 0.000 0.000 F
```

Output
The size of the total moment is 5.113 μB/cell. Its space group is Pm-3m, No. 221. Its raw formation energy is 1.089 eV per atom. The density of states at the Fermi level is 1.808 states/eV per atom.

# 18
A relaxed RhS2ClF crystal. Source: Alexandria via LeMat-Bulk, functional GGA-PBEsol.

Cell and atoms, written as POSCAR:
```
RhS2ClF
1.0
4.006 0.000 0.000
0.000 4.006 0.000
0.000 0.000 5.300
Rh S Cl F
1 2 1 1
Direct
0.000 0.000 0.000 Rh
0.000 0.500 0.500 S
0.500 0.000 0.500 S
0.500 0.500 0.000 Cl
0.500 0.500 0.500 F
```

Output
The size of the total moment is 2.688 μB/cell. Its space group is P4/mmm, No. 123. Its raw formation energy is 0.896 eV per atom. The density of states at the Fermi level is 1.282 states/eV per atom.

# 19
A relaxed ScRhCl2F crystal. Source: Alexandria via LeMat-Bulk, functional GGA-PBEsol.

Cell and atoms, written as POSCAR:
```
ScRhCl2F
1.0
4.586 0.000 0.000
0.000 4.586 0.000
0.000 0.000 4.855
Sc Rh Cl F
1 1 2 1
Direct
0.000 0.000 0.000 Sc
0.000 0.000 0.500 Rh
0.000 0.500 0.500 Cl
0.500 0.000 0.500 Cl
0.500 0.500 0.000 F
```

Output
The size of the total moment is 0.000 μB/cell. Its space group is P4/mmm, No. 123. Its raw formation energy is -0.748 eV per atom. The density of states at the Fermi level is 0.325 states/eV per atom.

# 20
A relaxed RuCl2F crystal. Source: Alexandria via LeMat-Bulk, functional GGA-PBEsol.

Cell and atoms, written as POSCAR:
```
RuCl2F
1.0
1.753 1.012 6.906
-1.753 1.012 6.906
0.000 -2.024 6.906
Ru Cl F
1 2 1
Direct
0.000 0.000 0.000 Ru
0.392 0.392 0.392 Cl
0.608 0.608 0.608 Cl
0.500 0.500 0.500 F
```

Output
The size of the total moment is 0.458 μB/cell. Its space group is R-3m, No. 166. Its raw formation energy is -0.246 eV per atom. The density of states at the Fermi level is 0.655 states/eV per atom.